a | {
  "formula": "InCoWAu",
  "functional": "PBE",
  "state": "optimized geometry",
  "lattice": [[0.0000, 3.1924, 3.1924], [3.1924, 0.0000, 3.1924], [3.1924, 3.1924, 0.0000]],
  "species": ["Co", "Au", "W", "In"],
  "fractional_positions": [[0.7500, 0.7500, 0.7500], [0.2500, 0.2500, 0.2500], [0.5000, 0.5000, 0.5000], [0.0000, 0.0000, 0.0000]],
  "rho_g_cm3": 14.152
}

***

b | {
  "formula": "InCoWAu",
  "functional": "PBE",
  "state": "optimized geometry",
  "lattice": [[-1.7421, -1.1590, 3.9990], [1.1073, 2.3287, 3.7042], [-3.0538, 2.6629, 1.9884]],
  "species": ["In", "Co", "W", "Au"],
  "fractional_positions": [[0.0000, 0.0000, 0.0000], [0.7500, 0.7500, 0.7500], [0.2500, 0.2500, 0.2500], [0.5000, 0.5000, 0.5000]],
  "rho_g_cm3": 14.165
}

***

a is the most stable structure shown above.